(1)
Compound: LiPr2UAs4
Source: Alexandria via LeMat-Bulk
Functional: PBE-GGA
Structure: optimized geometry

Computed properties:
total magnetization: 0.94 Bohr magnetons per cell
formation energy: -960 meV/atom
total DFT energy (no corrections): -6.1297 eV per atom

Unit cell a=7.1527 b=4.2115 c=7.2087 alpha=90.00 beta=108.86 gamma=90.00
Space group P2/m (No. 10)
Inequivalent atoms, fractional coordinates:
Li 0.0000 0.0000 0.0000
Pr 0.0000 0.5000 0.5000
Pr 0.5000 0.0000 0.5000
U 0.5000 0.5000 0.0000
As 0.2577 0.5000 0.2292
As 0.2599 0.0000 0.7700

---

(2)
Compound: Li2AsPt
Source: Alexandria via LeMat-Bulk
Functional: PBE-GGA
Structure: optimized geometry

Computed properties:
total magnetization: 0.00 Bohr magnetons per cell
formation energy: -395 meV/atom
total DFT energy (no corrections): -4.0241 eV per atom

Unit cell a=3.3692 b=3.3692 c=5.5218 alpha=90.00 beta=90.00 gamma=90.00
Space group P4mm (No. 99)
Inequivalent atoms, fractional coordinates:
Li 0.0000 0.0000 0.0000
Li 0.5000 0.5000 0.2587
As 0.5000 0.5000 0.7214
Pt 0.0000 0.0000 0.5185

---

(3)
Compound: LiAsPt
Source: Alexandria via LeMat-Bulk
Functional: PBE-GGA
Structure: optimized geometry

Computed properties:
total magnetization: 0.00 Bohr magnetons per cell
formation energy: -608 meV/atom
total DFT energy (no corrections): -4.8091 eV per atom

Unit cell a=6.5746 b=4.1714 c=7.3118 alpha=90.00 beta=90.00 gamma=90.00
Space group Pnma (No. 62)
Inequivalent atoms, fractional coordinates:
Li 0.0152 0.2500 0.1821
As 0.2239 0.7500 0.3818
Pt 0.1570 0.2500 0.5612

---

(4)
Compound: Li2AsPt
Source: Alexandria via LeMat-Bulk
Functional: PBE-GGA
Structure: optimized geometry

Computed properties:
total magnetization: 1.03 Bohr magnetons per cell
formation energy: -430 meV/atom
total DFT energy (no corrections): -4.0592 eV per atom

Unit cell a=2.8766 b=2.8766 c=25.1287 alpha=90.00 beta=90.00 gamma=120.00
Space group R-3m (No. 166, hexagonal axes)
Inequivalent atoms, fractional coordinates:
Li 0.0000 0.0000 0.2503
As 0.0000 0.0000 0.0000
Pt 0.0000 0.0000 0.5000

---

(5)
Compound: Li2AsPt
Source: Alexandria via LeMat-Bulk
Functional: PBE-GGA
Structure: optimized geometry

Computed properties:
total magnetization: 0.00 Bohr magnetons per cell
formation energy: -594 meV/atom
total DFT energy (no corrections): -4.2237 eV per atom

Unit cell a=3.7722 b=3.7722 c=8.0927 alpha=90.00 beta=90.00 gamma=90.00
Space group I4/mmm (No. 139)
Inequivalent atoms, fractional coordinates:
Li 0.0000 0.5000 0.2500
As 0.0000 0.0000 0.0000
Pt 0.0000 0.0000 0.5000

---

(6)
Compound: LiAs2Pt2
Source: Alexandria via LeMat-Bulk
Functional: PBE-GGA
Structure: optimized geometry

Computed properties:
total magnetization: 0.00 Bohr magnetons per cell
formation energy: -322 meV/atom
distance to the lowest polymorph of the same formula: 24 meV per atom
total DFT energy (no corrections): -4.9813 eV per atom

Unit cell a=4.6757 b=4.6757 c=9.0307 alpha=90.00 beta=90.00 gamma=90.00
Space group I4/mmm (No. 139)
Inequivalent atoms, fractional coordinates:
Li 0.0000 0.0000 0.0000
As 0.0000 0.5000 0.2500
Pt 0.0000 0.0000 0.3530

---

- What is the total DFT energy (no corrections) in the sixth record?
  -4.9813 eV per atom